BaTbCuBO5: single point on PBEsol structure, SCAN.

extended XYZ file:
```
18
Lattice="5.405 0.000 0.000 0.000 5.405 0.000 0.000 0.000 7.429" Properties=species:S:1:pos:R:3 pbc="T T T"
Ba 0.000 0.000 0.000
Ba 2.703 2.703 0.000
Tb 0.000 0.000 3.786
Tb 2.703 2.703 3.786
Cu 0.000 2.703 5.366
Cu 2.703 0.000 5.366
B 0.000 2.703 1.886
B 2.703 0.000 1.886
O 0.000 2.703 0.496
O 0.863 1.839 2.548
O 1.339 4.042 5.256
O 1.364 1.339 5.256
O 1.839 4.542 2.548
O 2.703 0.000 0.496
O 3.566 0.863 2.548
O 4.042 4.066 5.256
O 4.066 1.364 5.256
O 4.542 3.566 2.548
```

Results
**Formation energy (no corrections)**: -2.761 eV/atom
**Energy**: -18.327 eV/atom